[1]
A relaxed TlAgC2 crystal, computed with GGA-PBE.

Computed properties:
Formation enthalpy at 0 K   2.4521 eV per atom
Crystal system   cubic
Calculated density   9.822 Mg/m³
Space-group type   Fm-3m, No. 225

Structure (POSCAR):
```
TlAgC2
1.0
0.0000 3.0519 3.0519
3.0519 0.0000 3.0519
3.0519 3.0519 0.0000
Tl Ag C
1 1 2
Cartesian
0.0000 0.0000 0.0000
3.0519 3.0519 3.0519
1.5260 1.5260 1.5260
4.5779 4.5779 4.5779
```

[2]
A relaxed TlAg3C crystal, computed with GGA-PBE.

Computed properties:
Formation enthalpy at 0 K   2.0448 eV per atom
Crystal system   cubic
Calculated density   5.873 Mg/m³
Space-group type   Pm-3m, No. 221

Structure (POSCAR):
```
TlAg3C
1.0
5.3447 0.0000 0.0000
0.0000 5.3447 0.0000
0.0000 0.0000 5.3447
Tl Ag C
1 3 1
Cartesian
0.0000 0.0000 0.0000
0.0000 0.0000 2.6723
0.0000 2.6723 0.0000
2.6723 0.0000 0.0000
2.6723 2.6723 2.6723
```

[3]
A relaxed TlAg3C crystal, computed with GGA-PBE.

Computed properties:
Formation enthalpy at 0 K   0.7013 eV per atom
Crystal system   cubic
Calculated density   9.800 Mg/m³
Space-group type   Pm-3m, No. 221

Structure (POSCAR):
```
TlAg3C
1.0
4.5062 0.0000 0.0000
0.0000 4.5062 0.0000
0.0000 0.0000 4.5062
Tl Ag C
1 3 1
Cartesian
0.0000 0.0000 0.0000
0.0000 2.2531 2.2531
2.2531 0.0000 2.2531
2.2531 2.2531 0.0000
2.2531 2.2531 2.2531
```

[4]
A relaxed TlAgC3 crystal, computed with GGA-PBE.

Computed properties:
Formation enthalpy at 0 K   3.5253 eV per atom
Crystal system   cubic
Calculated density   6.559 Mg/m³
Space-group type   Pm-3m, No. 221

Structure (POSCAR):
```
TlAgC3
1.0
4.4509 0.0000 0.0000
0.0000 4.4509 0.0000
0.0000 0.0000 4.4509
Tl Ag C
1 1 3
Cartesian
0.0000 0.0000 0.0000
2.2254 2.2254 2.2254
0.0000 0.0000 2.2254
0.0000 2.2254 0.0000
2.2254 0.0000 0.0000
```

[5]
A relaxed TlAgC2 crystal, computed with GGA-PBE.

Computed properties:
Formation enthalpy at 0 K   2.1523 eV per atom
Crystal system   tetragonal
Calculated density   8.137 Mg/m³
Space-group type   I-42d, No. 122

Structure (POSCAR):
```
TlAgC2
1.0
-2.5415 2.5415 5.3125
2.5415 -2.5415 5.3125
2.5415 2.5415 -5.3125
Tl Ag C
2 2 4
Cartesian
0.0000 0.0000 0.0000
0.0000 2.5415 2.6563
2.5415 0.0000 2.6563
0.0000 0.0000 5.3125
1.2707 -1.0721 3.9844
1.4693 1.2707 1.3281
1.2707 3.6136 -1.3281
1.0721 1.2707 6.6407
```

[6]
A relaxed TlAg2C crystal, computed with GGA-PBE.

Computed properties:
Formation enthalpy at 0 K   1.4706 eV per atom
Crystal system   cubic
Calculated density   9.974 Mg/m³
Space-group type   Fm-3m, No. 225

Structure (POSCAR):
```
TlAg2C
1.0
0.0000 3.3011 3.3011
3.3011 0.0000 3.3011
3.3011 3.3011 0.0000
Tl Ag C
1 2 1
Cartesian
0.0000 0.0000 0.0000
1.6505 1.6505 1.6505
4.9516 4.9516 4.9516
3.3011 3.3011 3.3011
```

[7]
A relaxed Tl2AgC crystal, computed with GGA-PBE.

Computed properties:
Formation enthalpy at 0 K   1.1217 eV per atom
Crystal system   tetragonal
Calculated density   8.898 Mg/m³
Space-group type   I-42d, No. 122

Structure (POSCAR):
```
Tl2AgC
1.0
-3.2048 3.2048 4.8027
3.2048 -3.2048 4.8027
3.2048 3.2048 -4.8027
Tl Ag C
4 2 2
Cartesian
4.8072 1.0914 -1.2007
1.0914 1.6024 1.2007
-1.6024 2.1134 3.6020
2.1134 1.6024 6.0033
3.2048 0.0000 2.4013
0.0000 0.0000 4.8027
0.0000 0.0000 0.0000
0.0000 3.2048 2.4013
```

[8]
A relaxed TlAg2C crystal, computed with GGA-PBE.

Computed properties:
Formation enthalpy at 0 K   1.0577 eV per atom
Crystal system   tetragonal
Calculated density   7.490 Mg/m³
Space-group type   I4_1/amd, No. 141

Structure (POSCAR):
```
TlAg2C
1.0
-2.7670 2.7670 6.2566
2.7670 -2.7670 6.2566
2.7670 2.7670 -6.2566
Tl Ag C
2 4 2
Cartesian
2.7670 1.3835 1.5641
0.0000 1.3835 4.6924
0.0000 0.0000 0.0000
1.3835 1.3835 -3.1283
1.3835 -1.3835 3.1283
0.0000 2.7670 0.0000
2.7670 -1.3835 4.6924
0.0000 4.1505 1.5641
```